(1)
Material: PuTlRe
Method: DFT, PBE-GGA
State: optimized geometry

abc: 4.6244 4.6244 4.6244
angles: 60.00 60.00 60.00
Site moments in Bohr magnetons follow the coordinates.
Sites, in units of the cell vectors:
Tl 0.2500 0.2500 0.2500  0.00
Re 0.0000 0.0000 0.0000  -0.91
Pu 0.7500 0.7500 0.7500  4.83

Results
* energy relative to the lowest polymorph listed for this composition: 0 meV/atom
* ρ: 15.07 g/cm³
* total magnetic moment: 4.05 μB/f.u.
* calculated volume: 23.31 Å³ per atom

***

(2)
Material: PuTlRe
Method: DFT, PBE-GGA
State: optimized geometry

abc: 4.6610 4.6610 4.6610
angles: 60.00 60.00 60.00
Site moments in Bohr magnetons follow the coordinates.
Sites, in units of the cell vectors:
Re 0.2500 0.2500 0.2500  -1.20
Pu 0.0000 0.0000 0.0000  4.82
Tl 0.7500 0.7500 0.7500  0.08

Results
* energy relative to the lowest polymorph listed for this composition: 596 meV/atom
* ρ: 14.72 g/cm³
* total magnetic moment: 3.81 μB/f.u.
* calculated volume: 23.87 Å³ per atom

***

(3)
Material: TmPuRe
Method: DFT, PBE-GGA
State: optimized geometry

abc: 4.5471 4.5471 4.5471
angles: 60.00 60.00 60.00
Site moments in Bohr magnetons follow the coordinates.
Sites, in units of the cell vectors:
Re 0.2500 0.2500 0.2500  -0.56
Pu 0.0000 0.0000 0.0000  5.23
Tm 0.7500 0.7500 0.7500  0.76

Results
* energy relative to the lowest polymorph listed for this composition: 0 meV/atom
* ρ: 14.97 g/cm³
* energy relative to the elements: 3.0 eV/f.u.
* total magnetic moment: 5.29 μB/f.u.
* calculated volume: 22.16 Å³ per atom

***

(4)
Material: PuReW
Method: DFT, PBE-GGA
State: optimized geometry

abc: 4.3484 4.3484 4.3484
angles: 60.00 60.00 60.00
Site moments in Bohr magnetons follow the coordinates.
Sites, in units of the cell vectors:
W 0.7500 0.7500 0.7500  0.00
Re 0.2500 0.2500 0.2500  -0.28
Pu 0.0000 0.0000 0.0000  3.78

Results
* ρ: 17.54 g/cm³
* energy relative to the elements: 3.6 eV/f.u.
* total magnetic moment: 3.45 μB/f.u.
* calculated volume: 19.38 Å³ per atom

***

(5)
Material: PuZnRe
Method: DFT, PBE-GGA
State: optimized geometry

abc: 4.4163 4.4163 4.4163
angles: 60.00 60.00 60.00
Site moments in Bohr magnetons follow the coordinates.
Sites, in units of the cell vectors:
Pu 0.0000 0.0000 0.0000  4.31
Zn 0.7500 0.7500 0.7500  0.04
Re 0.2500 0.2500 0.2500  -1.13

Results
* energy relative to the lowest polymorph listed for this composition: 575 meV/atom
* ρ: 13.51 g/cm³
* energy relative to the elements: 3.2 eV/f.u.
* total magnetic moment: 3.24 μB/f.u.
* calculated volume: 20.30 Å³ per atom

***

(6)
Material: PuZnRe
Method: DFT, PBE-GGA
State: optimized geometry

abc: 4.3957 4.3957 4.3957
angles: 60.00 60.00 60.00
Site moments in Bohr magnetons follow the coordinates.
Sites, in units of the cell vectors:
Re 0.0000 0.0000 0.0000  -0.71
Zn 0.2500 0.2500 0.2500  0.00
Pu 0.7500 0.7500 0.7500  4.67

Results
* energy relative to the lowest polymorph listed for this composition: 0 meV/atom
* ρ: 13.70 g/cm³
* energy relative to the elements: 1.4 eV/f.u.
* total magnetic moment: 4.11 μB/f.u.
* calculated volume: 20.02 Å³ per atom

***

(7)
Material: PuZrRe
Method: DFT, PBE-GGA
State: optimized geometry

abc: 4.4430 4.4430 4.4430
angles: 60.00 60.00 60.00
Site moments in Bohr magnetons follow the coordinates.
Sites, in units of the cell vectors:
Pu 0.0000 0.0000 0.0000  4.81
Zr 0.7500 0.7500 0.7500  0.44
Re 0.2500 0.2500 0.2500  -0.59

Results
* ρ: 13.96 g/cm³
* energy relative to the elements: 2.7 eV/f.u.
* total magnetic moment: 4.69 μB/f.u.
* calculated volume: 20.67 Å³ per atom

***

(8)
Material: PuS2
Method: DFT, PBE-GGA
State: optimized geometry

abc: 3.7933 3.7933 25.3488
angles: 90.00 90.00 120.00
Site moments in Bohr magnetons follow the coordinates.
Sites, in units of the cell vectors:
Pu 0.3333 0.6667 0.2501  4.56
Pu 0.3333 0.6667 0.7499  4.56
Pu 0.3333 0.6667 0.5000  4.57
Pu 0.0000 0.0000 0.0000  4.57
S 0.6667 0.3333 0.8118  -0.25
S 0.3333 0.6667 0.9380  -0.25
S 0.0000 0.0000 0.4380  -0.25
S 0.6667 0.3333 0.1882  -0.25
S 0.3333 0.6667 0.0620  -0.25
S 0.0000 0.0000 0.5620  -0.25
S 0.6667 0.3333 0.6879  -0.25
S 0.6667 0.3333 0.3121  -0.25

Results
* energy: -8.67 eV/atom
* ρ: 6.48 g/cm³
* total magnetic moment: 4.00 μB/f.u.
* calculated volume: 26.32 Å³ per atom

***

(9)
Material: PuS2
Method: DFT, PBE-GGA
State: optimized geometry

abc: 4.0226 6.9514 11.8039
angles: 90.00 90.00 90.00
Site moments in Bohr magnetons follow the coordinates.
Sites, in units of the cell vectors:
S 0.5000 0.6415 0.6215  -0.21
S 0.0000 0.7997 0.3934  -0.21
S 0.0000 0.6914 0.8967  -0.21
S 0.5000 0.2003 0.8934  -0.21
S 0.5000 0.3086 0.3967  -0.21
S 0.0000 0.3585 0.1215  -0.21
S 0.0000 0.1324 0.6183  -0.21
S 0.5000 0.8676 0.1183  -0.21
Pu 0.0000 0.4712 0.5107  4.51
Pu 0.5000 0.9700 0.5037  4.50
Pu 0.0000 0.0300 0.0037  4.50
Pu 0.5000 0.5288 0.0107  4.50

Results
* energy: -8.90 eV/atom
* ρ: 6.20 g/cm³
* total magnetic moment: 4.00 μB/f.u.
* calculated volume: 27.51 Å³ per atom

***

(10)
Material: PuS2
Method: DFT, PBE-GGA
State: optimized geometry

abc: 3.8013 3.8013 34.6113
angles: 90.00 90.00 120.00
Site moments in Bohr magnetons follow the coordinates.
Sites, in units of the cell vectors:
S 0.5743 0.9066 0.5448  -0.25
S 0.9066 0.5743 0.3641  -0.25
S 0.4257 0.0934 0.0448  -0.25
S 0.0935 0.4257 0.8641  -0.25
S 0.5743 0.9066 0.6359  -0.25
S 0.4257 0.0935 0.1359  -0.25
S 0.0934 0.4257 0.9552  -0.25
S 0.9066 0.5743 0.4552  -0.25
Pu 0.7601 0.7591 0.9097  4.57
Pu 0.7591 0.7601 0.0903  4.57
Pu 0.2409 0.2399 0.5903  4.57
Pu 0.2399 0.2409 0.4097  4.57

Results
* energy: -8.67 eV/atom
* ρ: 4.73 g/cm³
* total magnetic moment: 4.00 μB/f.u.
* calculated volume: 36.09 Å³ per atom

***

(11)
Material: PuS2
Method: DFT, PBE-GGA
State: optimized geometry

abc: 8.3334 8.3334 8.3334
angles: 60.00 60.00 60.00
Site moments in Bohr magnetons follow the coordinates.
Sites, in units of the cell vectors:
Pu 0.7500 0.7500 0.7500  4.58
Pu 0.0000 0.0000 0.0000  4.57
S 0.8750 0.8750 0.3750  -0.24
S 0.8750 0.8750 0.8750  -0.23
S 0.8750 0.3750 0.8750  -0.22
S 0.3750 0.8750 0.8750  -0.19

Results
* energy: -8.29 eV/atom
* ρ: 2.50 g/cm³
* total magnetic moment: 4.00 μB/f.u.
* calculated volume: 68.20 Å³ per atom

***

(12)
Material: PuS2
Method: DFT, PBE-GGA
State: optimized geometry

abc: 3.9992 4.0007 16.6190
angles: 91.53 93.56 119.99
Site moments in Bohr magnetons follow the coordinates.
Sites, in units of the cell vectors:
S 0.3714 0.1960 0.0911  -0.21
S 0.7717 0.9138 0.2515  -0.20
S 0.2283 0.0862 0.7485  -0.20
S 0.6286 0.8040 0.9089  -0.21
Pu 0.0715 0.5549 0.1712  4.49
Pu 0.9285 0.4451 0.8288  4.49

Results
* energy: -8.89 eV/atom
* ρ: 4.46 g/cm³
* total magnetic moment: 4.00 μB/f.u.
* calculated volume: 38.22 Å³ per atom